DFT (PBE) results for an optimized crystal structure of Sm3HBr7. Values from VASP.

Output
DOS at the Fermi energy = 4.48 states/eV/cell
Magnetic moment = 1.04 μB/cell

```
&SYSTEM
  ibrav = 0, nat = 11, ntyp = 3
/
ATOMIC_SPECIES
Sm 150.36 Sm.upf
Br 79.90 Br.upf
H 1.01 H.upf
CELL_PARAMETERS angstrom
-4.9856 3.1018 3.8253
-5.2448 -5.8707 -2.0753
4.6021 -0.8226 6.6651
ATOMIC_POSITIONS crystal
Sm 0.7670 0.4941 0.5059
Sm 0.7670 0.4941 0.9881
Sm 0.7670 0.0119 0.5059
Br 0.0098 0.1675 0.3350
Br 0.0098 0.1675 0.8325
Br 0.5329 0.8317 0.1683
Br 0.0098 0.6650 0.8325
Br 0.0074 0.6667 0.3333
Br 0.5329 0.3366 0.1683
Br 0.5329 0.8317 0.6634
H 0.6785 0.3333 0.6667
```

***

DFT (PBE) results for an optimized crystal structure of Sm4HBr5. Values from VASP.

Output
DOS at the Fermi energy = 3.08 states/eV/cell
Magnetic moment = 0.00 μB/cell

```
&SYSTEM
  ibrav = 0, nat = 10, ntyp = 3
/
ATOMIC_SPECIES
H 1.01 H.upf
Br 79.90 Br.upf
Sm 150.36 Sm.upf
CELL_PARAMETERS angstrom
-1.6605 0.7584 3.3807
6.8038 -3.0619 4.0287
2.7196 8.2131 -2.6900
ATOMIC_POSITIONS crystal
H 0.5000 0.0000 0.0000
Br 0.1664 0.3465 0.3328
Br 0.8336 0.6535 0.6672
Br 0.5000 0.5000 0.0000
Br 0.8237 0.1713 0.6475
Br 0.1763 0.8287 0.3525
Sm 0.6414 0.0750 0.2827
Sm 0.3586 0.9250 0.7173
Sm 0.9983 0.2129 0.9965
Sm 0.0017 0.7871 0.0035
```

***

For reference, uncorrected energy by record: -4.23 -4.36 eV/atom.